Here is a relaxed Zr2CrF11 crystal from Alexandria via LeMat-Bulk. Energies are from GGA+U.

extended XYZ file:
```
28
Lattice="7.0816 0.0000 3.6912 3.2683 7.1483 2.3684 0.2258 -0.0881 8.2055" Properties=species:S:1:pos:R:3 pbc="T T T"
F 0.6536 0.2889 2.5087
F 4.0915 -0.0513 8.1651
Cr 7.9317 5.2951 10.6988
F 2.8569 3.8190 8.0335
F 5.6413 1.9649 8.9223
F 6.4841 7.1115 6.0999
Cr 2.6439 1.7650 3.5663
F 8.6803 5.5831 6.7948
F 5.2532 5.1735 10.9617
F 4.9343 5.0952 5.3427
F 3.1865 1.7299 9.9015
Zr 3.8707 2.1405 7.8192
F 7.4687 3.4933 10.3246
F 0.0000 0.0000 0.0000
F 7.7187 3.2411 6.2315
F 6.6132 5.4167 8.3524
F 3.9624 1.6434 5.9126
F 9.2835 5.3481 9.3679
F 5.3225 1.8867 3.3034
F 7.3892 5.3303 4.3635
Zr 7.0587 1.3015 10.3416
F 3.1070 3.5669 3.9404
F 1.2922 1.7121 4.8971
Zr 6.7050 4.9197 6.4458
F 5.2878 3.5301 7.1325
F 9.9220 6.7712 11.7563
F 1.8954 1.4770 7.4702
Zr 3.5170 5.7587 3.9234
```

Properties
Calculated total energy = -181.58 eV/cell
Total magnetization = 3.00 μB per formula unit
DOS at the Fermi energy = 0.00 states/eV per cell